The following is a PBE-GGA calculation of a relaxed structure of Li2GaAg4Sn, from OQMD via LeMat-Bulk.

Cell lengths 4.5718, 4.5718, 6.6505 Å; angles 90.00, 90.00, 90.00 degrees
Space group P-4m2 (No. 115)
Unique sites:
Li: 0.0000 0.0000 0.0000 (multiplicity 1)
Li: 0.5000 0.5000 0.5000 (multiplicity 1)
Ga: 0.0000 0.0000 0.5000 (multiplicity 1)
Ag: 0.0000 0.5000 0.2698 (multiplicity 2)
Ag: 0.0000 0.5000 0.7325 (multiplicity 2)
Sn: 0.5000 0.5000 0.0000 (multiplicity 1)

The following is a PBE-GGA calculation of a relaxed structure of Gd2Al8Ir, from OQMD via LeMat-Bulk.

Cell lengths 4.2977, 4.2977, 11.2720 Å; angles 90.00, 90.00, 90.00 degrees
Space group P4/mmm (No. 123)
Unique sites:
Gd: 0.0000 0.0000 0.1911 (multiplicity 2)
Al: 0.0000 0.5000 0.0000 (multiplicity 2)
Al: 0.0000 0.5000 0.3795 (multiplicity 4)
Al: 0.5000 0.5000 0.1929 (multiplicity 2)
Ir: 0.0000 0.0000 0.5000 (multiplicity 1)

The following is a PBE-GGA calculation of a relaxed structure of CsAgPdSeS2, from OQMD via LeMat-Bulk.

Cell lengths 3.7694, 16.1226, 10.5158 Å; angles 90.00, 90.00, 90.00 degrees
Space group Cmcm (No. 63)
Unique sites:
Cs: 0.0000 0.2387 0.2500 (multiplicity 4)
Ag: 0.0000 0.0689 0.7500 (multiplicity 4)
Pd: 0.0000 0.5000 0.0000 (multiplicity 4)
Se: 0.0000 0.4503 0.7500 (multiplicity 4)
S: 0.0000 0.0964 0.5212 (multiplicity 8)

The following is a PBE-GGA calculation of a relaxed structure of NpAg2Cl6, from OQMD via LeMat-Bulk.

Cell lengths 6.7231, 6.3783, 13.3624 Å; angles 90.00, 120.16, 90.00 degrees
Space group P2_1/c (No. 14)
Unique sites:
Np: 0.0000 0.0000 0.0000 (multiplicity 2)
Ag: 0.3242 0.0029 0.8242 (multiplicity 4)
Cl: 0.0027 0.7393 0.6610 (multiplicity 4)
Cl: 0.3201 0.7358 0.4992 (multiplicity 4)
Cl: 0.3207 0.2385 0.1605 (multiplicity 4)

The following is a PBE-GGA calculation of a relaxed structure of NdTlAg2S3, from OQMD via LeMat-Bulk.

Cell lengths 13.9556, 4.2001, 11.5197 Å; angles 90.00, 90.00, 90.00 degrees
Space group Pnma (No. 62)
Unique sites:
Nd: 0.0198 0.2500 0.1646 (multiplicity 4)
Tl: 0.2310 0.2500 0.4567 (multiplicity 4)
Ag: 0.0375 0.7500 0.4103 (multiplicity 4)
Ag: 0.1734 0.2500 0.7285 (multiplicity 4)
S: 0.0897 0.7500 0.6264 (multiplicity 4)
S: 0.0969 0.2500 0.9324 (multiplicity 4)
S: 0.1445 0.7500 0.2316 (multiplicity 4)

The following is a PBE-GGA calculation of a relaxed structure of HoZn2Cd2, from OQMD via LeMat-Bulk.

Output
**Formation energy**: -0.61 eV per formula unit

Cell lengths 5.7462, 5.7542, 12.8213 Å; angles 90.00, 90.00, 90.00 degrees
Space group Fmmm (No. 69)
Unique sites:
Ho: 0.0000 0.0000 0.0000 (multiplicity 4)
Zn: 0.2500 0.2500 0.2500 (multiplicity 8)
Cd: 0.0000 0.0000 0.3907 (multiplicity 8)

The following is a PBE-GGA calculation of a relaxed structure of HoTmMg6, from OQMD via LeMat-Bulk.

Cell lengths 5.1501, 5.1501, 7.2912 Å; angles 90.00, 90.00, 90.00 degrees
Space group P4/mmm (No. 123)
Unique sites:
Ho: 0.0000 0.0000 0.0000 (multiplicity 1)
Tm: 0.5000 0.5000 0.5000 (multiplicity 1)
Mg: 0.0000 0.0000 0.5000 (multiplicity 1)
Mg: 0.0000 0.5000 0.2506 (multiplicity 4)
Mg: 0.5000 0.5000 0.0000 (multiplicity 1)

The following is a PBE-GGA calculation of a relaxed structure of CoCN2, from OQMD via LeMat-Bulk.

Cell lengths 2.9623, 2.9623, 9.2157 Å; angles 90.00, 90.00, 120.00 degrees
Space group P6_3/mmc (No. 194)
Unique sites:
Co: 0.0000 0.0000 0.0000 (multiplicity 2)
C: 0.3333 0.6667 0.2500 (multiplicity 2)
N: 0.3333 0.6667 0.1153 (multiplicity 4)

Raw total energy? In order: -3.004 -4.934 -3.752 -4.408 -4.453 -1.900 -2.345 -7.928 eV/atom.